Entry 1:
{"formula": "AsHS3", "functional": "GGA-PBE", "state": "optimized geometry", "lattice_angstrom": [[-4.4615, -1.1102, -1.2148], [1.6088, -3.6808, -2.5448], [-0.3462, -2.7986, 3.8290]], "species": ["H", "S", "S", "S", "As"], "frac_coords": [[0.5000, 0.5000, 0.5000], [0.0000, 0.5000, 0.0000], [0.0000, 0.0000, 0.5000], [0.5000, 0.0000, 0.0000], [0.0000, 0.0000, 0.0000]], "n_ef_per_ev_cell": 3.96, "total_magnetization_mub_per_fu": 0.26, "space_group": "Pm-3m (221)", "total_energy_ev_per_atom": -2.979, "relative_energy_mev_per_atom": 104}

Entry 2:
{"formula": "Y2Ga3Cu", "functional": "GGA-PBE", "state": "optimized geometry", "lattice_angstrom": [[4.0514, 0.0000, 1.6967], [1.8535, 5.1720, 1.2596], [0.0043, -0.2064, 5.6750]], "species": ["Y", "Y", "Ga", "Ga", "Ga", "Cu"], "frac_coords": [[0.5291, 0.2199, 0.7219], [0.4652, 0.7815, 0.2880], [0.8279, 0.2103, 0.1340], [0.8462, 0.6229, 0.6848], [0.1616, 0.7866, 0.8901], [0.1700, 0.3789, 0.2812]], "n_ef_per_ev_cell": 3.96, "total_magnetization_mub_per_fu": 0.00, "space_group": "Cm (8)", "total_energy_ev_per_atom": -4.956, "relative_energy_mev_per_atom": 5, "delta_e_f_mev_per_atom": -605}

Entry 3:
{"formula": "SrBePt3", "functional": "GGA-PBE", "state": "optimized geometry", "lattice_angstrom": [[4.1576, 0.0000, 0.0000], [0.0000, 4.1576, 0.0000], [0.0000, 0.0000, 5.1734]], "species": ["Pt", "Pt", "Pt", "Sr", "Be"], "frac_coords": [[0.0000, 0.0000, 0.6789], [0.0000, 0.5000, 0.3190], [0.5000, 0.0000, 0.3190], [0.5000, 0.5000, 0.8332], [0.0000, 0.0000, 0.1136]], "n_ef_per_ev_cell": 1.28, "total_magnetization_mub_per_fu": 0.00, "space_group": "P4mm (99)", "total_energy_ev_per_atom": -5.328, "relative_energy_mev_per_atom": 123, "delta_e_f_mev_per_atom": -622}

Entry 4:
{"formula": "Au2I2Cl7", "functional": "GGA-PBE", "state": "optimized geometry", "lattice_angstrom": [[8.2091, -1.3036, -1.4258], [-2.6991, 7.8615, -1.4258], [0.3135, 0.3731, 14.1662]], "species": ["Cl", "Cl", "Cl", "Cl", "Cl", "Cl", "Cl", "Cl", "Cl", "Cl", "Cl", "Cl", "Cl", "Cl", "I", "I", "I", "I", "Au", "Au", "Au", "Au"], "frac_coords": [[0.3407, 0.5123, 0.8767], [0.7660, 0.4107, 0.9061], [0.2340, 0.5893, 0.0939], [0.1128, 0.8872, 0.7500], [0.5123, 0.3407, 0.3767], [0.0297, 0.4373, 0.6029], [0.8872, 0.1128, 0.2500], [0.9703, 0.5627, 0.3971], [0.4877, 0.6593, 0.6233], [0.4107, 0.7660, 0.4061], [0.4373, 0.0297, 0.1029], [0.6593, 0.4877, 0.1233], [0.5627, 0.9703, 0.8971], [0.5893, 0.2340, 0.5939], [0.7123, 0.8788, 0.3429], [0.8788, 0.7123, 0.8429], [0.1212, 0.2877, 0.1571], [0.2877, 0.1212, 0.6571], [0.2362, 0.6103, 0.5094], [0.6103, 0.2362, 0.0094], [0.3897, 0.7638, 0.9906], [0.7638, 0.3897, 0.4906]], "n_ef_per_ev_cell": 11.52, "total_magnetization_mub_per_fu": 0.00, "space_group": "C2/c (15)", "raw_formation_energy_ev_per_fu": -1.4, "total_energy_ev_per_atom": -2.180}

Entry 5:
{"formula": "Fe2CuBr", "functional": "GGA-PBE", "state": "optimized geometry", "lattice_angstrom": [[7.8917, -0.0021, -0.0013], [7.2868, 3.0303, -0.0013], [7.2868, 1.4538, 2.6589]], "species": ["Fe", "Fe", "Cu", "Br"], "frac_coords": [[0.9958, 0.9958, 0.9958], [0.2560, 0.2560, 0.2560], [0.7397, 0.7397, 0.7397], [0.5085, 0.5085, 0.5085]], "n_ef_per_ev_cell": 2.47, "total_magnetization_mub_per_fu": 5.74, "space_group": "R3m (160)", "raw_formation_energy_ev_per_fu": 1.8, "total_energy_ev_per_atom": -5.230, "relative_energy_mev_per_atom": 100}

Entry 6:
{"formula": "Pm3Pr2Mg2", "functional": "GGA-PBE", "state": "optimized geometry", "lattice_angstrom": [[-1.0094, 2.9356, -2.2594], [2.0670, -1.4300, -2.7815], [-11.9386, -9.6323, -3.9196]], "species": ["Pm", "Pm", "Pm", "Mg", "Mg", "Pr", "Pr"], "frac_coords": [[0.0000, 0.0000, 0.0000], [0.4207, 0.5000, 0.8414], [0.5793, 0.5000, 0.1586], [0.8594, 0.0000, 0.7189], [0.1406, 0.0000, 0.2811], [0.7043, 0.5000, 0.4085], [0.2957, 0.5000, 0.5915]], "n_ef_per_ev_cell": 8.07, "total_magnetization_mub_per_fu": 0.00, "space_group": "Cmmm (65)", "total_energy_ev_per_atom": -3.832, "relative_energy_mev_per_atom": 41, "delta_e_f_mev_per_atom": 25}

Entry 7:
{"formula": "BaWSe2", "functional": "GGA-PBE", "state": "optimized geometry", "lattice_angstrom": [[6.1811, 0.0000, 0.0000], [0.0000, 6.1811, 0.0000], [3.0906, 3.0906, 6.7627]], "species": ["Se", "Se", "Se", "Se", "Ba", "Ba", "W", "W"], "frac_coords": [[0.7407, 0.1250, 0.2500], [0.0093, 0.6250, 0.2500], [0.3750, 0.2593, 0.7500], [0.8750, 0.9907, 0.7500], [0.2500, 0.7500, 0.5000], [0.5000, 0.5000, 0.0000], [0.7500, 0.2500, 0.5000], [0.0000, 0.0000, 0.0000]], "n_ef_per_ev_cell": 4.17, "total_magnetization_mub_per_fu": 0.00, "space_group": "I-42d (122)", "raw_formation_energy_ev_per_fu": -1.3, "total_energy_ev_per_atom": -5.786, "relative_energy_mev_per_atom": 184}

Entry 8:
{"formula": "BePd3Pt", "functional": "GGA-PBE", "state": "optimized geometry", "lattice_angstrom": [[-1.7885, 3.4058, -0.7011], [-2.3737, -3.9684, -2.3180], [-4.0448, -0.7693, 6.5812]], "species": ["Pd", "Pd", "Pd", "Pd", "Pd", "Pd", "Be", "Be", "Pt", "Pt"], "frac_coords": [[0.1233, 0.2466, 0.3982], [0.0990, 0.1980, 0.8775], [0.9010, 0.8020, 0.1225], [0.6151, 0.2301, 0.1384], [0.3849, 0.7699, 0.8616], [0.8767, 0.7534, 0.6018], [0.2524, 0.5049, 0.1223], [0.7476, 0.4951, 0.8777], [0.4021, 0.8042, 0.3638], [0.5979, 0.1958, 0.6362]], "n_ef_per_ev_cell": 9.44, "total_magnetization_mub_per_fu": 0.00, "space_group": "C2/m (12)", "total_energy_ev_per_atom": -5.276, "relative_energy_mev_per_atom": 0, "delta_e_f_mev_per_atom": -207}